1.
PdI2N: PBEsol geometry, SCAN.

Summary:
Space-group type: No. 225
Crystal system: cubic
M_tot (μB per atom): 0.37
Formation energy (no corrections) (eV/atom): 1.431

Lattice parameters (Å, degrees): 4.8000 4.8000 4.8000 60.00 60.00 60.00
Last column: magnetic moment on the atom in μB.
Sites, in units of the cell vectors:
Pd  0.5000  0.5000  0.5000  -0.31
I  0.2500  0.2500  0.2500  -0.15
I  0.7500  0.7500  0.7500  -0.15
N  0.0000  0.0000  0.0000  1.53

=====

2.
Sr7Ag3: PBEsol geometry, SCAN.

Summary:
Space-group type: No. 186
Crystal system: hexagonal
Formation energy from the elements (eV/atom): -0.21
M_tot (μB per atom): 0.01

Lattice parameters (Å, degrees): 7.0986 11.1381 11.1381 120.00 90.00 90.00
Sites, in units of the cell vectors:
Ag  0.1696  0.8112  0.6224
Ag  0.1696  0.8112  0.1888
Ag  0.6696  0.1888  0.3776
Ag  0.1696  0.3776  0.1888
Ag  0.6696  0.6224  0.8112
Ag  0.6696  0.1888  0.8112
Sr  0.7431  0.8751  0.7502
Sr  0.4508  0.3333  0.6667
Sr  0.4417  0.5413  0.4587
Sr  0.9508  0.6667  0.3333
Sr  0.9417  0.4587  0.9175
Sr  0.2431  0.7502  0.8751
Sr  0.2431  0.1249  0.8751
Sr  0.9417  0.0825  0.5413
Sr  0.7431  0.2498  0.1249
Sr  0.9417  0.4587  0.5413
Sr  0.4417  0.5413  0.0825
Sr  0.4417  0.9175  0.4587
Sr  0.7431  0.8751  0.1249
Sr  0.2431  0.1249  0.2498

=====

3.
Be2RhAu: PBEsol geometry, SCAN.

Summary:
Space-group type: No. 44
Crystal system: orthorhombic
Formation energy from the elements (eV/atom): -0.39
M_tot (μB per atom): 0.00
Offset from the most stable computed form (eV/atom): 0.242

Lattice parameters (Å, degrees): 2.8523 3.8275 4.9166 112.91 106.86 90.00
Sites, in units of the cell vectors:
Be  0.2454  0.7454  0.4908
Be  0.9926  0.9926  0.9853
Rh  0.5177  0.5177  0.0355
Au  0.7442  0.2442  0.4884

=====

4.
Na2FeCSO7: PBEsol geometry, SCAN.

Summary:
Space-group type: No. 11
Crystal system: monoclinic
M_tot (μB per atom): 0.33
Formation energy (no corrections) (eV/atom): -1.746

Lattice parameters (Å, degrees): 5.1998 6.6496 8.9782 90.00 91.35 90.00
Last column: magnetic moment on the atom in μB.
Sites, in units of the cell vectors:
Na  0.2334  0.4969  0.7859  0.00
Na  0.7666  0.9969  0.2141  0.00
Na  0.2334  0.0031  0.7859  0.00
Na  0.7666  0.5031  0.2141  0.00
O  0.3194  0.7500  0.9436  0.01
O  0.8327  0.7500  0.4235  0.03
O  0.8152  0.9309  0.6588  0.03
O  0.4611  0.7500  0.1833  0.07
O  0.1848  0.4309  0.3412  0.03
O  0.8152  0.5691  0.6588  0.03
O  0.0444  0.7500  0.1352  0.05
O  0.9556  0.2500  0.8648  0.05
O  0.1673  0.2500  0.5765  0.03
O  0.6806  0.2500  0.0564  0.01
O  0.1848  0.0691  0.3412  0.03
O  0.5389  0.2500  0.8167  0.07
O  0.4367  0.7500  0.5627  0.02
O  0.5633  0.2500  0.4373  0.02
Fe  0.2211  0.7500  0.3580  3.63
Fe  0.7789  0.2500  0.6420  3.63
S  0.7247  0.7500  0.5765  0.01
S  0.2753  0.2500  0.4235  0.01
C  0.7263  0.2500  0.9193  0.00
C  0.2737  0.7500  0.0807  0.00

=====

5.
SiHW2N: PBEsol geometry, SCAN.

Summary:
Space-group type: No. 123
E_tot (eV/atom): -31.482
Crystal system: tetragonal
M_tot (μB per atom): 0.00

Lattice parameters (Å, degrees): 2.9833 4.1948 4.1948 90.00 90.00 90.00
Sites, in units of the cell vectors:
H  0.0000  0.0000  0.0000
W  0.0000  0.5000  0.0000
W  0.0000  0.0000  0.5000
Si  0.5000  0.5000  0.5000
N  0.5000  0.0000  0.0000

=====

6.
CoPRuCl2: PBEsol geometry, SCAN.

Summary:
Space-group type: No. 123
Crystal system: tetragonal
M_tot (μB per atom): 0.62
Formation energy (no corrections) (eV/atom): 0.601

Lattice parameters (Å, degrees): 4.4039 4.7677 4.7677 90.00 90.00 90.00
Last column: magnetic moment on the atom in μB.
Sites, in units of the cell vectors:
P  0.5000  0.0000  0.0000  0.00
Cl  0.0000  0.0000  0.5000  0.03
Cl  0.0000  0.5000  0.0000  0.03
Ru  0.0000  0.0000  0.0000  0.29
Co  0.5000  0.5000  0.5000  2.50

=====

7.
Lu2TeO6: PBEsol geometry, SCAN.

Summary:
Space-group type: No. 150
Crystal system: trigonal
M_tot (μB per atom): 0.00
Offset from the most stable computed form (eV/atom): 0.000
Formation energy (no corrections) (eV/atom): -2.866

Lattice parameters (Å, degrees): 5.0242 8.9079 8.9079 120.00 90.00 90.00
Sites, in units of the cell vectors:
O  0.7159  0.4143  0.8717
O  0.7223  0.4598  0.2349
O  0.2777  0.5402  0.7751
O  0.7223  0.7751  0.5402
O  0.7842  0.0815  0.8764
O  0.7223  0.7651  0.2249
O  0.2158  0.8764  0.0815
O  0.7159  0.4575  0.5857
O  0.2841  0.5425  0.1283
O  0.7159  0.1283  0.5425
O  0.2158  0.9185  0.7949
O  0.2841  0.8717  0.4143
O  0.7842  0.1236  0.2051
O  0.2158  0.2051  0.1236
O  0.2841  0.5857  0.4575
O  0.7842  0.7949  0.9185
O  0.2777  0.2349  0.4598
O  0.2777  0.2249  0.7651
Te  0.5025  0.6667  0.3333
Te  0.4975  0.3333  0.6667
Te  0.0000  0.0000  0.0000
Lu  0.0000  0.6224  0.0000
Lu  0.0000  0.0000  0.6224
Lu  0.5000  0.0000  0.2858
Lu  0.0000  0.3776  0.3776
Lu  0.5000  0.7142  0.7142
Lu  0.5000  0.2858  0.0000

=====

8.
AcY3: PBEsol geometry, SCAN.

Summary:
Space-group type: No. 139
Crystal system: tetragonal
Formation energy from the elements (eV/atom): 0.06
M_tot (μB per atom): 0.00

Lattice parameters (Å, degrees): 5.1446 5.1446 6.1941 114.54 114.54 90.00
Sites, in units of the cell vectors:
Ac  0.0000  0.0000  0.0000
Y  0.5000  0.5000  0.0000
Y  0.7500  0.2500  0.5000
Y  0.2500  0.7500  0.5000

=====

9.
Zr2CuAs: PBEsol geometry, SCAN.

Summary:
Space-group type: No. 38
Crystal system: orthorhombic
Formation energy from the elements (eV/atom): -0.84
M_tot (μB per atom): 0.00

Lattice parameters (Å, degrees): 3.7214 3.7425 5.3840 90.00 110.22 90.00
Sites, in units of the cell vectors:
Cu  0.7027  0.5000  0.4054
Zr  0.2731  0.0000  0.5461
Zr  0.9740  0.5000  0.9481
As  0.5502  0.0000  0.1004

=====

10.
RhSeSCl2: PBEsol geometry, SCAN.

Summary:
Space-group type: No. 123
Crystal system: tetragonal
M_tot (μB per atom): 0.18
Formation energy (no corrections) (eV/atom): 0.242

Lattice parameters (Å, degrees): 4.5640 4.6254 4.6254 90.00 90.00 90.00
Last column: magnetic moment on the atom in μB.
Sites, in units of the cell vectors:
Cl  0.0000  0.5000  0.0000  0.08
Cl  0.0000  0.0000  0.5000  0.08
Rh  0.0000  0.0000  0.0000  -0.13
S  0.5000  0.0000  0.0000  -0.10
Se  0.5000  0.5000  0.5000  0.64

=====

11.
Li6FeO4F2: PBEsol geometry, SCAN.

Summary:
Space-group type: No. 2
Crystal system: triclinic
M_tot (μB per atom): 0.31
Formation energy (no corrections) (eV/atom): -2.242

Lattice parameters (Å, degrees): 5.3855 5.3892 5.5432 62.15 64.40 62.82
Last column: magnetic moment on the atom in μB.
Sites, in units of the cell vectors:
Li  0.5074  0.9127  0.2531  0.00
Li  0.0838  0.6982  0.4784  0.00
Li  0.4926  0.0873  0.7469  0.00
Li  0.7210  0.4932  0.0692  0.00
Li  0.9162  0.3018  0.5216  0.00
Li  0.2790  0.5068  0.9308  0.00
O  0.9017  0.6599  0.2051  0.11
O  0.6537  0.2073  0.9170  0.12
O  0.0983  0.3401  0.7949  0.11
O  0.3463  0.7927  0.0830  0.12
F  0.2266  0.8818  0.6033  0.05
F  0.7734  0.1182  0.3967  0.05
Fe  0.0000  0.0000  0.0000  3.26

=====

12.
ZrCuPt4: PBEsol geometry, SCAN.

Summary:
Space-group type: No. 216
Crystal system: cubic
Formation energy from the elements (eV/atom): -0.63
M_tot (μB per atom): 0.00

Lattice parameters (Å, degrees): 5.1773 5.1773 5.1773 60.00 60.00 60.00
Sites, in units of the cell vectors:
Zr  0.2500  0.2500  0.2500
Pt  0.6256  0.1233  0.6256
Pt  0.1233  0.6256  0.6256
Pt  0.6256  0.6256  0.6256
Pt  0.6256  0.6256  0.1233
Cu  0.0000  0.0000  0.0000